Material: MnBiOs3
Method: DFT, PBE
State: optimized geometry

## Properties
Polymorph energy (0 for the lowest one) (eV per formula unit): 0.00
Final energy (Ha/atom): -0.2872
DOS(E_F) (states/eV per cell): 5.089
M_tot (μB per atom): 0.000

a b c (Å): 4.524 4.524 4.524
angles (deg): 90.00 90.00 90.00
Space group Pm-3m (No. 221)
Inequivalent atoms, fractional coordinates:
1 Mn 0.000 0.000 0.000
2 Bi 0.500 0.500 0.500
3 Os 0.000 0.000 0.500



Material: La3TmSb4
Method: DFT, PBE
State: optimized geometry

## Properties
E_form (uncorrected) (eV per atom): -1.210
Final energy (Ha/atom): -0.2087
DOS(E_F) (states/eV per cell): 2.124
M_tot (μB per atom): 0.000

a b c (Å): 7.885 9.125 7.896
angles (deg): 90.00 109.51 90.00
Space group P2/c (No. 13)
Inequivalent atoms, fractional coordinates:
1 La 0.000 0.124 0.250
2 La 0.000 0.373 0.750
3 La 0.500 0.373 0.250
4 Tm 0.500 0.124 0.750
5 Sb 0.255 0.369 0.506
6 Sb 0.262 0.119 0.000



Material: K2Rb7Na
Method: DFT, PBE
State: optimized geometry

## Properties
Polymorph energy (0 for the lowest one) (eV per formula unit): 0.00
Final energy (Ha/atom): -0.0370
DOS(E_F) (states/eV per cell): 31.374
M_tot (μB per atom): 0.000

a b c (Å): 21.136 12.728 15.355
angles (deg): 90.00 127.18 90.00
Space group C2/c (No. 15)
Inequivalent atoms, fractional coordinates:
1 K 0.149 0.004 0.092
2 Rb 0.000 0.120 0.750
3 Rb 0.084 0.343 0.590
4 Rb 0.137 0.247 0.307
5 Rb 0.204 0.382 0.046
6 Na 0.000 0.486 0.750



Material: LiTcPb2
Method: DFT, PBE
State: optimized geometry

## Properties
Polymorph energy (0 for the lowest one) (eV per formula unit): 0.01
Final energy (Ha/atom): -0.1719
DOS(E_F) (states/eV per cell): 3.545
M_tot (μB per atom): 0.000

a b c (Å): 3.481 3.488 6.790
angles (deg): 90.00 90.18 90.00
Space group P2/m (No. 10)
Inequivalent atoms, fractional coordinates:
1 Li 0.000 0.000 0.000
2 Tc 0.000 0.000 0.500
3 Pb 0.500 0.500 0.264



Material: Si2PRu
Method: DFT, PBE
State: optimized geometry

## Properties
E_form (uncorrected) (eV per atom): -0.203
Final energy (Ha/atom): -0.2420
DOS(E_F) (states/eV per cell): 2.957
M_tot (μB per atom): 0.000

a b c (Å): 4.662 3.718 7.207
angles (deg): 90.00 90.32 90.00
Space group P2_1/m (No. 11)
Inequivalent atoms, fractional coordinates:
1 Si 0.141 0.250 0.062
2 Si 0.161 0.750 0.546
3 P 0.482 0.250 0.673
4 Ru 0.370 0.750 0.859



Material: Ac2CdB3Pt12
Method: DFT, PBE
State: optimized geometry

## Properties
Final energy (Ha/atom): -0.2219
DOS(E_F) (states/eV per cell): 18.409
M_tot (μB per atom): 0.000

a b c (Å): 8.0525 8.0525 18.0292
angles (deg): 90.00 90.00 120.00
Space group R-3m (No. 166, hexagonal axes)
Inequivalent atoms, fractional coordinates:
1 Ac 0.0000 0.0000 0.1062
2 Cd 0.0000 0.0000 0.5000
3 B 0.0000 0.5000 0.0000
4 Pt 0.0128 0.5064 0.8827
5 Pt 0.0619 0.5309 0.3513



Material: TaTcSb2Os
Method: DFT, PBE
State: optimized geometry

## Properties
E_form (uncorrected) (eV per atom): 1.949
Final energy (Ha/atom): -0.2348
DOS(E_F) (states/eV per cell): 7.903
M_tot (μB per atom): 0.400

a b c (Å): 5.220 5.220 4.667
angles (deg): 90.00 90.00 90.00
Space group P4/mmm (No. 123)
Inequivalent atoms, fractional coordinates:
1 Ta 0.000 0.000 0.000
2 Tc 0.000 0.000 0.500
3 Sb 0.000 0.500 0.000
4 Os 0.500 0.500 0.500



Material: PmNdAlGe
Method: DFT, PBE
State: optimized geometry

## Properties
Polymorph energy (0 for the lowest one) (eV per formula unit): 0.92
Final energy (Ha/atom): -0.1804
DOS(E_F) (states/eV per cell): 8.979
M_tot (μB per atom): 0.000

a b c (Å): 7.408 7.408 7.408
angles (deg): 90.00 90.00 90.00
Space group F-43m (No. 216)
Inequivalent atoms, fractional coordinates:
1 Pm 0.000 0.000 0.000
2 Nd 0.000 0.000 0.500
3 Al 0.250 0.250 0.250
4 Ge 0.250 0.250 0.750



Q: M_tot of number 6 (Ac2CdB3Pt12)?
A: 0.000 μB per atom



Q: Among the records above, which one has the highest DOS(E_F)?
A: K2Rb7Na